This record from Alexandria via LeMat-Bulk describes HfSc2Hg after structural relaxation. The functional is PBE.

Cell and atoms, written as POSCAR:
```
HfSc2Hg
1.0
7.637 5.034 6.259
7.841 2.147 7.534
9.505 2.850 4.939
Hg Hf Sc
1 1 2
direct
0.500 0.500 0.500
0.000 0.000 0.000
0.092 0.092 0.092
0.908 0.908 0.908
```

Computed properties:
formation energy: 0.1931 eV/atom
density: 8.23 g/cm³

=====

This record from Alexandria via LeMat-Bulk describes Ba2SiSnB after structural relaxation. The functional is PBE.

Cell and atoms, written as POSCAR:
```
Ba2SiSnB
1.0
6.348 0.000 0.000
0.000 6.348 0.000
0.000 0.000 3.729
Ba Sn B Si
2 1 1 1
direct
0.000 0.500 0.000
0.500 0.000 0.000
0.500 0.500 0.500
0.000 0.000 0.000
0.000 0.000 0.500
```

Computed properties:
formation energy (no corrections): -0.1192 eV/atom
density: 4.78 g/cm³

=====

- Which of these has the lowest density?
  Ba2SiSnB

=====

Copy entry 2 word for word.
This record from Alexandria via LeMat-Bulk describes Ba2SiSnB after structural relaxation. The functional is PBE.

Cell and atoms, written as POSCAR:
```
Ba2SiSnB
1.0
6.348 0.000 0.000
0.000 6.348 0.000
0.000 0.000 3.729
Ba Sn B Si
2 1 1 1
direct
0.000 0.500 0.000
0.500 0.000 0.000
0.500 0.500 0.500
0.000 0.000 0.000
0.000 0.000 0.500
```

Computed properties:
formation energy (no corrections): -0.1192 eV/atom
density: 4.78 g/cm³